(1)
# ReTcPd3

A geometry-optimized ReTcPd3 structure (GGA-PBEsol, the Alexandria database).

POSCAR file:
```
ReTcPd3
1.0
4.601 0.000 0.000
0.000 4.601 0.000
0.000 0.000 4.601
Re Tc Pd
1 1 3
direct
0.000 0.000 0.000
0.500 0.500 0.500
0.000 0.500 0.500
0.500 0.000 0.500
0.500 0.500 0.000
```

Computed properties:
As for the total energy: -32.13 eV/f.u. The value obtained for the density is 10.29 g/cm3. Its density of states at the Fermi level is 5.96 states/eV per cell. Its symmetry is Pm-3m. The calculation puts the formation energy at 2.069 eV/atom.

(2)
# Re2TcPd

A geometry-optimized Re2TcPd structure (GGA-PBEsol, the Alexandria database).

POSCAR file:
```
Re2TcPd
1.0
0.000 3.075 3.075
3.075 0.000 3.075
3.075 3.075 0.000
Re Tc Pd
2 1 1
direct
0.250 0.250 0.250
0.750 0.750 0.750
0.000 0.000 0.000
0.500 0.500 0.500
```

Computed properties:
As for the total energy: -42.11 eV/f.u. The value obtained for the density is 16.47 g/cm3. Its density of states at the Fermi level is 3.47 states/eV per cell. Its symmetry is Fm-3m. The calculation puts the formation energy at 0.446 eV/atom.

(3)
# Tl3RePd

A geometry-optimized Tl3RePd structure (GGA-PBEsol, the Alexandria database).

POSCAR file:
```
Tl3RePd
1.0
5.181 0.000 0.000
0.000 5.181 0.000
0.000 0.000 5.181
Tl Re Pd
3 1 1
direct
0.000 0.000 0.500
0.000 0.500 0.000
0.500 0.000 0.000
0.000 0.000 0.000
0.500 0.500 0.500
```

Computed properties:
As for the total energy: -21.86 eV/f.u. The value obtained for the density is 10.81 g/cm3. Its density of states at the Fermi level is 3.28 states/eV per cell. Its symmetry is Pm-3m. The calculation puts the formation energy at 1.063 eV/atom.